This record from Alexandria describes a relaxed KPb3Se crystal. The functional is PBEsol.

a b c (Å): 5.8235 5.8235 5.8235
angles (deg): 90.00 90.00 90.00
Closest atoms and distances in Å follow each position.
Space group Pm-3m (No. 221)
One atom of each set of equivalent atoms:
K: 0.0000 0.0000 0.0000 [1 per cell]  6 Pb 2.91
Pb: 0.0000 0.0000 0.5000 [3 per cell]  2 K 2.91
Se: 0.5000 0.5000 0.5000 [1 per cell]  12 Pb 4.12

Properties
Formation energy without anion corrections, eV per atom: 1.151
Total energy, eV/atom: -2.244